Model a:
The following is a DFT calculation (GGA-PBE) of a relaxed structure of CuHgIr2.

## Properties
N(E_F), states/eV per atom: 0.979

Geometry as extended XYZ:
```
4
Lattice="2.782 0.000 0.000 0.000 4.690 0.000 -0.131 0.000 4.817" Properties=species:S:1:pos:R:3 pbc="T T T"
Cu 0.000 0.000 0.000
Hg 1.325 0.000 2.409
Ir 0.560 2.345 3.706
Ir 2.091 2.345 1.111
```



Model b:
The following is a DFT calculation (GGA-PBE) of a relaxed structure of CuHgIr2.

## Properties
N(E_F), states/eV per atom: 1.629

Geometry as extended XYZ:
```
8
Lattice="5.450 0.000 0.000 0.000 8.118 0.000 0.000 0.000 2.839" Properties=species:S:1:pos:R:3 pbc="T T T"
Cu 0.000 0.000 0.000
Cu 2.725 4.059 0.000
Hg 0.000 4.059 0.000
Hg 2.725 0.000 0.000
Ir 1.363 2.030 1.420
Ir 1.363 6.089 1.420
Ir 4.088 2.030 1.420
Ir 4.088 6.089 1.420
```



Which is the most stable structure? model a is the most stable.



Model a:
The following is a DFT calculation (GGA-PBE) of a relaxed structure of CuHgIr2.

## Properties
N(E_F), states/eV per atom: 1.543

Geometry as extended XYZ:
```
4
Lattice="3.887 0.000 0.000 0.000 3.887 0.000 0.000 0.000 4.131" Properties=species:S:1:pos:R:3 pbc="T T T"
Cu 0.000 0.000 0.000
Hg 1.944 1.944 0.000
Ir 0.000 1.944 2.065
Ir 1.944 0.000 2.065
```



Model b:
The following is a DFT calculation (GGA-PBE) of a relaxed structure of CuHgIr2.

## Properties
N(E_F), states/eV per atom: 1.312

Geometry as extended XYZ:
```
8
Lattice="2.816 0.000 0.000 0.000 4.800 0.000 0.000 0.000 9.321" Properties=species:S:1:pos:R:3 pbc="T T T"
Cu 0.000 0.000 0.000
Cu 1.408 2.400 0.000
Hg 0.000 0.000 4.661
Hg 1.408 2.400 4.661
Ir 0.000 2.400 2.123
Ir 0.000 2.400 7.199
Ir 1.408 0.000 2.123
Ir 1.408 0.000 7.199
```



Model c:
The following is a DFT calculation (GGA-PBE) of a relaxed structure of CuHgIr2.

## Properties
N(E_F), states/eV per atom: 1.325

Geometry as extended XYZ:
```
8
Lattice="2.858 0.000 0.000 0.000 4.729 0.000 0.000 0.000 9.381" Properties=species:S:1:pos:R:3 pbc="T T T"
Cu 0.000 0.000 0.000
Cu 1.429 2.365 4.690
Hg 0.000 2.365 7.106
Hg 1.429 0.000 2.416
Ir 0.000 0.000 4.944
Ir 0.000 2.365 2.444
Ir 1.429 0.000 7.135
Ir 1.429 2.365 0.254
```



Model d:
The following is a DFT calculation (GGA-PBE) of a relaxed structure of CuHgIr2.

## Properties
N(E_F), states/eV per atom: 1.023

Geometry as extended XYZ:
```
8
Lattice="2.771 0.000 0.000 0.000 4.872 0.000 0.000 0.000 9.451" Properties=species:S:1:pos:R:3 pbc="T T T"
Cu 0.000 0.000 0.000
Cu 1.386 2.436 0.000
Hg 0.000 2.436 2.426
Hg 1.386 0.000 2.426
Ir 0.000 0.000 5.017
Ir 0.000 2.436 7.267
Ir 1.386 0.000 7.267
Ir 1.386 2.436 5.017
```



Which is the most stable structure? model d is the most stable.



Model a:
The following is a DFT calculation (GGA-PBE) of a relaxed structure of CuHgIr.

## Properties
N(E_F), states/eV per atom: 0.766

Geometry as extended XYZ:
```
12
Lattice="5.961 0.000 0.000 0.000 5.961 0.000 0.000 0.000 5.961" Properties=species:S:1:pos:R:3 pbc="T T T"
Cu 0.000 0.000 0.000
Cu 0.000 2.980 2.980
Cu 2.980 0.000 2.980
Cu 2.980 2.980 0.000
Hg 1.490 1.490 4.471
Hg 1.490 4.471 1.490
Hg 4.471 1.490 1.490
Hg 4.471 4.471 4.471
Ir 1.490 1.490 1.490
Ir 1.490 4.471 4.471
Ir 4.471 1.490 4.471
Ir 4.471 4.471 1.490
```



Model b:
The following is a DFT calculation (GGA-PBE) of a relaxed structure of CuHgIr.

## Properties
N(E_F), states/eV per atom: 0.974

Geometry as extended XYZ:
```
12
Lattice="2.937 0.000 0.000 0.000 4.802 0.000 0.000 0.000 13.733" Properties=species:S:1:pos:R:3 pbc="T T T"
Cu 0.000 0.000 0.000
Cu 0.000 2.401 6.867
Cu 1.468 0.000 6.867
Cu 1.468 2.401 0.000
Hg 0.000 0.000 9.180
Hg 0.000 2.401 2.313
Hg 1.468 0.000 2.313
Hg 1.468 2.401 9.180
Ir 0.000 0.000 4.785
Ir 0.000 2.401 11.652
Ir 1.468 0.000 11.652
Ir 1.468 2.401 4.785
```



Model c:
The following is a DFT calculation (GGA-PBE) of a relaxed structure of CuHgIr.

## Properties
N(E_F), states/eV per atom: 0.987

Geometry as extended XYZ:
```
6
Lattice="11.198 0.000 0.000 0.000 2.963 0.000 -0.780 0.000 2.858" Properties=species:S:1:pos:R:3 pbc="T T T"
Cu 0.000 0.000 0.000
Cu 5.599 1.481 0.000
Hg 1.407 1.481 1.923
Hg 7.006 0.000 1.923
Ir 3.738 0.000 1.027
Ir 9.337 1.481 1.027
```



Which is the most stable structure? model c is the most stable.



Model a:
The following is a DFT calculation (GGA-PBE) of a relaxed structure of Cu2HgIr.

## Properties
N(E_F), states/eV per atom: 0.788

Geometry as extended XYZ:
```
4
Lattice="3.985 0.000 0.000 0.000 3.985 0.000 0.000 0.000 3.731" Properties=species:S:1:pos:R:3 pbc="T T T"
Cu 0.000 1.993 0.000
Cu 1.993 0.000 0.000
Hg 0.000 0.000 1.866
Ir 1.993 1.993 1.866
```



Model b:
The following is a DFT calculation (GGA-PBE) of a relaxed structure of Cu2HgIr.

## Properties
N(E_F), states/eV per atom: 0.861

Geometry as extended XYZ:
```
8
Lattice="9.571 0.000 0.000 0.000 2.954 0.000 -1.641 0.000 4.180" Properties=species:S:1:pos:R:3 pbc="T T T"
Cu 0.000 0.000 0.000
Cu 1.682 1.477 1.270
Cu 4.786 1.477 0.000
Cu 6.468 0.000 1.270
Hg 1.016 0.000 3.398
Hg 5.802 1.477 3.398
Ir 3.773 0.000 1.983
Ir 8.559 1.477 1.983
```



Model c:
The following is a DFT calculation (GGA-PBE) of a relaxed structure of Cu2HgIr.

## Properties
N(E_F), states/eV per atom: 0.770

Geometry as extended XYZ:
```
4
Lattice="2.985 0.000 0.000 0.000 2.985 0.000 0.000 0.000 6.664" Properties=species:S:1:pos:R:3 pbc="T T T"
Cu 0.000 0.000 0.000
Cu 1.493 1.493 1.342
Hg 0.000 0.000 3.193
Ir 1.493 1.493 5.187
```



Which is the most stable structure? model a is the most stable.